# 1
# Y2ZnAs, single point on PBEsol structure, DFT SCAN
data_Y2ZnAs
_symmetry_space_group_name_H-M 'F m -3 m'
_symmetry_Int_Tables_number 225
_symmetry_space_group_name_Hall '-F 4 2 3'
_cell_length_a 7.005
_cell_length_b 7.005
_cell_length_c 7.005
_cell_angle_alpha 90.00
_cell_angle_beta 90.00
_cell_angle_gamma 90.00
loop_
_atom_site_label
_atom_site_type_symbol
_atom_site_fract_x
_atom_site_fract_y
_atom_site_fract_z
Y1 Y 0.250 0.250 0.250
Zn1 Zn 0.000 0.000 0.000
As1 As 0.000 0.000 0.500
# Distance to the lowest polymorph of the same formula ... 293 meV per atom
# ΔH_f (0 K) ... -706 meV/atom

***

# 2
# YZnAs, single point on PBEsol structure, DFT SCAN
data_YZnAs
_symmetry_space_group_name_H-M 'F m m 2'
_symmetry_Int_Tables_number 42
_symmetry_space_group_name_Hall 'F 2 -2'
_cell_length_a 4.409
_cell_length_b 5.473
_cell_length_c 10.080
_cell_angle_alpha 90.00
_cell_angle_beta 90.00
_cell_angle_gamma 90.00
loop_
_atom_site_label
_atom_site_type_symbol
_atom_site_fract_x
_atom_site_fract_y
_atom_site_fract_z
Y1 Y 0.000 0.000 0.000
Zn1 Zn 0.000 0.000 0.691
As1 As 0.000 0.000 0.319
# ΔH_f (0 K) ... -576 meV/atom

***

# 3
# YZnAs, single point on PBEsol structure, DFT SCAN
data_YZnAs
_symmetry_space_group_name_H-M 'F -4 3 m'
_symmetry_Int_Tables_number 216
_symmetry_space_group_name_Hall 'F -4 2 3'
_cell_length_a 6.627
_cell_length_b 6.627
_cell_length_c 6.627
_cell_angle_alpha 90.00
_cell_angle_beta 90.00
_cell_angle_gamma 90.00
loop_
_atom_site_label
_atom_site_type_symbol
_atom_site_fract_x
_atom_site_fract_y
_atom_site_fract_z
Y1 Y 0.000 0.000 0.000
Zn1 Zn 0.250 0.250 0.750
As1 As 0.250 0.250 0.250
# ΔH_f (0 K) ... -511 meV/atom

***

# 4
# Y2ZnAs, single point on PBEsol structure, DFT SCAN
data_Y2ZnAs
_symmetry_space_group_name_H-M 'A m m 2'
_symmetry_Int_Tables_number 38
_cell_length_a 3.972
_cell_length_b 4.146
_cell_length_c 10.692
_cell_angle_alpha 90.00
_cell_angle_beta 90.00
_cell_angle_gamma 90.00
loop_
_symmetry_equiv_pos_as_xyz
'x,y,z'
'-x,-y,z'
'-x,y,z'
'x,-y,z'
'x,y+1/2,z+1/2'
'-x,-y+1/2,z+1/2'
'-x,y+1/2,z+1/2'
'x,-y+1/2,z+1/2'
loop_
_atom_site_label
_atom_site_type_symbol
_atom_site_fract_x
_atom_site_fract_y
_atom_site_fract_z
Y1 Y 0.000 0.000 0.000
Y2 Y 0.500 0.000 0.283
Zn1 Zn 0.500 0.000 0.559
As1 As 0.000 0.000 0.722
# Distance to the lowest polymorph of the same formula ... 0 meV per atom
# ΔH_f (0 K) ... -999 meV/atom

***

Among the records above, which one has the lowest ΔH_f (0 K)?
number 4

***

Look up the ΔH_f (0 K) of the first one.
-706 meV/atom

***

Look up the ΔH_f (0 K) of the fourth one.
-999 meV/atom

***

Which of these has the lowest ΔH_f (0 K)?
number 4